No. 1
CrBiAs3 PBE relaxed; distance to the lowest polymorph of the same formula = 0 meV/atom; calculated density = 7.37 Mg/m³; ΔE_f = 334 meV per atom; total magnetic moment = 1.4 μB/cell; final energy = -25.78 eV for the cell shown; density of states at the Fermi level = 3.29 states/eV/f.u.
1.0
-2.680 2.899 -2.699
0.293 -3.104 -3.626
-3.950 -2.198 1.562
Cr As Bi
1 3 1
Direct
0.000 0.000 0.000 Cr
0.000 0.500 0.000 As
0.000 0.000 0.500 As
0.500 0.000 0.000 As
0.500 0.500 0.500 Bi

=====

No. 2
Y5Cu2Au PBE relaxed; calculated density = 6.41 Mg/m³; ΔE_f = -334 meV per atom; total magnetic moment = 0.0 μB/cell; final energy = -92.92 eV for the cell shown; density of states at the Fermi level = 12.40 states/eV/f.u.
1.0
0.927 -7.134 -0.045
5.713 0.715 4.313
-7.893 2.576 4.030
Y Cu Au
10 4 2
Direct
0.522 0.682 0.705 Y
0.818 0.978 0.295 Y
0.000 0.000 0.000 Y
0.500 0.500 0.000 Y
0.182 0.022 0.705 Y
0.682 0.182 0.705 Y
0.022 0.522 0.705 Y
0.318 0.818 0.295 Y
0.978 0.478 0.295 Y
0.478 0.318 0.295 Y
0.123 0.377 0.000 Cu
0.623 0.123 0.000 Cu
0.377 0.877 0.000 Cu
0.877 0.623 0.000 Cu
0.750 0.750 0.500 Au
0.250 0.250 0.500 Au

=====

No. 3
Nd5Er4Sc PBE relaxed; distance to the lowest polymorph of the same formula = 0 meV/atom; calculated density = 7.42 Mg/m³; ΔE_f = 25 meV per atom; total magnetic moment = 0.0 μB/cell; final energy = -48.17 eV for the cell shown; density of states at the Fermi level = 13.80 states/eV/f.u.
1.0
-1.237 -3.361 -0.414
2.726 -0.727 -2.243
13.776 -7.428 19.149
Nd Er Sc
5 4 1
Direct
0.500 0.500 0.093 Nd
0.500 0.500 0.296 Nd
0.500 0.500 0.500 Nd
0.500 0.500 0.704 Nd
0.500 0.500 0.907 Nd
0.000 0.000 0.195 Er
0.000 0.000 0.398 Er
0.000 0.000 0.602 Er
0.000 0.000 0.805 Er
0.000 0.000 0.000 Sc

=====

No. 4
Dy4CdIn2Hg PBE relaxed; calculated density = 9.40 Mg/m³; ΔE_f = -438 meV per atom; total magnetic moment = 0.0 μB/cell; final energy = -28.61 eV for the cell shown; density of states at the Fermi level = 8.45 states/eV/f.u.
1.0
-4.118 3.240 0.798
-2.904 1.657 -4.112
-7.555 -5.222 -0.185
Dy Cd In Hg
4 1 2 1
Direct
0.376 0.376 0.871 Dy
0.874 0.874 0.379 Dy
0.126 0.126 0.621 Dy
0.624 0.624 0.129 Dy
0.000 0.000 0.000 Cd
0.748 0.748 0.756 In
0.252 0.252 0.244 In
0.500 0.500 0.500 Hg

=====

No. 5
GdNiHgRh PBE relaxed; calculated density = 11.81 Mg/m³; ΔE_f = -317 meV per atom; total magnetic moment = 7.1 μB/cell; final energy = -28.78 eV for the cell shown; density of states at the Fermi level = 2.17 states/eV/f.u.
1.0
-1.600 -3.988 -1.884
0.714 -4.084 2.196
-3.602 -2.255 1.989
Ni Gd Rh Hg
1 1 1 1
Direct
0.250 0.250 0.250 Ni
0.000 0.000 0.000 Gd
0.750 0.750 0.750 Rh
0.500 0.500 0.500 Hg

=====

No. 6
SrZnMo2 PBE relaxed; calculated density = 7.33 Mg/m³; ΔE_f = 587 meV per atom; total magnetic moment = 0.0 μB/cell; final energy = -22.27 eV for the cell shown; density of states at the Fermi level = 3.47 states/eV/f.u.
1.0
-2.312 1.819 -0.114
-0.935 -2.778 -0.271
-0.947 -0.607 9.480
Mo Sr Zn
2 1 1
Direct
0.000 0.000 0.006 Mo
0.500 0.500 0.210 Mo
0.000 0.000 0.501 Sr
0.500 0.500 0.783 Zn

=====

No. 7
LaGa2BiIr PBE relaxed; calculated density = 8.56 Mg/m³; ΔE_f = -539 meV per atom; total magnetic moment = 0.0 μB/cell; final energy = -26.42 eV for the cell shown; density of states at the Fermi level = 3.77 states/eV/f.u.
1.0
4.883 0.000 0.000
0.000 4.883 0.000
0.000 0.000 5.531
Ir Bi Ga La
1 1 2 1
Direct
0.000 0.000 0.000 Ir
0.500 0.500 0.500 Bi
0.000 0.500 0.000 Ga
0.500 0.000 0.000 Ga
0.000 0.000 0.500 La

=====

No. 8
Er2ZrIn3 PBE relaxed; distance to the lowest polymorph of the same formula = 11 meV/atom; calculated density = 8.70 Mg/m³; ΔE_f = -363 meV per atom; total magnetic moment = 0.0 μB/cell; final energy = -56.14 eV for the cell shown; density of states at the Fermi level = 5.07 states/eV/f.u.
1.0
-1.280 8.472 1.699
-6.897 -1.533 2.446
7.115 0.632 2.207
Er Zr In
4 2 6
Direct
0.720 0.335 0.666 Er
0.220 0.334 0.665 Er
0.220 0.665 0.334 Er
0.720 0.666 0.335 Er
0.720 0.000 0.000 Zr
0.220 0.000 0.000 Zr
0.470 0.162 0.838 In
0.970 0.162 0.838 In
0.470 0.500 0.500 In
0.970 0.500 0.500 In
0.970 0.838 0.162 In
0.470 0.838 0.162 In

=====

No. 9
Ac2NpPaN4 PBE relaxed; calculated density = 11.64 Mg/m³; total magnetic moment = 2.9 μB/cell; final energy = -73.90 eV for the cell shown; density of states at the Fermi level = 11.51 states/eV/f.u.; formation energy without anion corrections = -1243 meV per atom
1.0
3.621 0.000 0.000
0.000 6.294 0.090
0.000 -2.211 6.089
Ac Np Pa N
2 1 1 4
Direct
0.500 0.000 0.500 Ac
0.000 0.500 0.500 Ac
0.500 0.500 0.000 Np
0.000 0.000 0.000 Pa
0.500 0.225 0.191 N
0.500 0.775 0.809 N
0.000 0.270 0.812 N
0.000 0.730 0.188 N

=====

No. 10
Pr2ZnGa5 PBE relaxed; calculated density = 6.77 Mg/m³; ΔE_f = -463 meV per atom; total magnetic moment = 0.0 μB/cell; final energy = -29.67 eV for the cell shown; density of states at the Fermi level = 2.97 states/eV/f.u.
1.0
-2.791 4.676 -3.073
-3.199 -3.534 4.047
4.144 1.170 4.534
Pr Zn Ga
2 1 5
Direct
0.500 0.273 0.773 Pr
0.500 0.773 0.273 Pr
0.000 0.854 0.854 Zn
0.457 0.751 0.751 Ga
0.000 0.751 0.294 Ga
0.000 0.294 0.751 Ga
0.543 0.294 0.294 Ga
0.000 0.231 0.231 Ga

=====

No. 11
YTe2Pt PBE relaxed; distance to the lowest polymorph of the same formula = 507 meV/atom; calculated density = 6.38 Mg/m³; total magnetic moment = 0.7 μB/cell; final energy = -20.46 eV for the cell shown; density of states at the Fermi level = 3.59 states/eV/f.u.; formation energy without anion corrections = -419 meV per atom
1.0
2.503 0.000 8.615
-1.252 2.168 8.615
-1.252 -2.168 8.615
Y Te Pt
1 2 1
Direct
0.500 0.500 0.500 Y
0.902 0.902 0.902 Te
0.098 0.098 0.098 Te
0.000 0.000 0.000 Pt

=====

No. 12
Pr6Si2Te3S PBE relaxed; calculated density = 6.04 Mg/m³; total magnetic moment = 0.0 μB/cell; final energy = -69.22 eV for the cell shown; density of states at the Fermi level = 4.74 states/eV/f.u.; formation energy without anion corrections = -1346 meV per atom
1.0
4.351 0.000 0.000
0.000 8.912 0.151
-2.176 -2.741 9.291
Pr Si Te S
6 2 3 1
Direct
0.339 0.899 0.678 Pr
0.673 0.568 0.345 Pr
0.661 0.101 0.322 Pr
0.008 0.234 0.017 Pr
0.992 0.766 0.983 Pr
0.327 0.432 0.655 Pr
0.834 0.670 0.669 Si
0.166 0.330 0.331 Si
0.500 0.500 0.000 Te
0.834 0.166 0.669 Te
0.166 0.834 0.331 Te
0.500 0.000 0.000 S